No. 1
# PBE-GGA CoRe2Ag, relaxed
data_CoRe2Ag
_symmetry_space_group_name_H-M 'F -4 3 m'
_symmetry_Int_Tables_number 216
_symmetry_space_group_name_Hall 'F -4 2 3'
_cell_length_a 6.162
_cell_length_b 6.162
_cell_length_c 6.162
_cell_angle_alpha 90.00
_cell_angle_beta 90.00
_cell_angle_gamma 90.00
loop_
_atom_site_label
_atom_site_type_symbol
_atom_site_fract_x
_atom_site_fract_y
_atom_site_fract_z
Co1 Co 0.000 0.000 0.000
Re1 Re 0.000 0.000 0.500
Re2 Re 0.250 0.250 0.250
Ag1 Ag 0.250 0.250 0.750
# Uncorrected energy in eV per atom: -8.11
# Excess energy over the best structure of this formula in the dataset in meV/atom: 315
# Crystal system: cubic

***

No. 2
# PBE-GGA CoReAg2, relaxed
data_CoReAg2
_symmetry_space_group_name_H-M 'C 1 2/m 1'
_symmetry_Int_Tables_number 12
_cell_length_a 5.369
_cell_length_b 9.723
_cell_length_c 2.625
_cell_angle_alpha 90.00
_cell_angle_beta 115.12
_cell_angle_gamma 90.00
loop_
_symmetry_equiv_pos_as_xyz
'x,y,z'
'-x,-y,-z'
'-x,y,-z'
'x,-y,z'
'x+1/2,y+1/2,z'
'-x+1/2,-y+1/2,-z'
'-x+1/2,y+1/2,-z'
'x+1/2,-y+1/2,z'
loop_
_atom_site_label
_atom_site_type_symbol
_atom_site_fract_x
_atom_site_fract_y
_atom_site_fract_z
Co1 Co 0.000 0.000 0.000
Re1 Re 0.000 0.500 0.000
Ag1 Ag 0.250 0.250 0.500
# Uncorrected energy in eV per atom: -5.65
# Excess energy over the best structure of this formula in the dataset in meV/atom: 371
# Crystal system: monoclinic

***

No. 3
# PBE-GGA CoRe2Ag, relaxed
data_CoRe2Ag
_symmetry_space_group_name_H-M 'I m m m'
_symmetry_Int_Tables_number 71
_symmetry_space_group_name_Hall '-I 2 2'
_cell_length_a 2.716
_cell_length_b 4.451
_cell_length_c 9.919
_cell_angle_alpha 90.00
_cell_angle_beta 90.00
_cell_angle_gamma 90.00
loop_
_atom_site_label
_atom_site_type_symbol
_atom_site_fract_x
_atom_site_fract_y
_atom_site_fract_z
Co1 Co 0.000 0.000 0.000
Re1 Re 0.000 0.500 0.289
Ag1 Ag 0.000 0.000 0.500
# Uncorrected energy in eV per atom: -8.26
# Excess energy over the best structure of this formula in the dataset in meV/atom: 163
# Crystal system: orthorhombic

***

No. 4
# PBE-GGA CoReAg2, relaxed
data_CoReAg2
_symmetry_space_group_name_H-M 'F m -3 m'
_symmetry_Int_Tables_number 225
_symmetry_space_group_name_Hall '-F 4 2 3'
_cell_length_a 6.229
_cell_length_b 6.229
_cell_length_c 6.229
_cell_angle_alpha 90.00
_cell_angle_beta 90.00
_cell_angle_gamma 90.00
loop_
_atom_site_label
_atom_site_type_symbol
_atom_site_fract_x
_atom_site_fract_y
_atom_site_fract_z
Co1 Co 0.000 0.000 0.000
Re1 Re 0.000 0.000 0.500
Ag1 Ag 0.250 0.250 0.250
# Uncorrected energy in eV per atom: -5.26
# Excess energy over the best structure of this formula in the dataset in meV/atom: 753
# Crystal system: cubic

***

No. 5
# PBE-GGA CoReAg2, relaxed
data_CoReAg2
_symmetry_space_group_name_H-M 'C m m 2'
_symmetry_Int_Tables_number 35
_cell_length_a 2.939
_cell_length_b 4.524
_cell_length_c 9.319
_cell_angle_alpha 90.00
_cell_angle_beta 90.00
_cell_angle_gamma 90.00
loop_
_symmetry_equiv_pos_as_xyz
'x,y,z'
'-x,-y,z'
'-x,y,z'
'x,-y,z'
'x+1/2,y+1/2,z'
'-x+1/2,-y+1/2,z'
'-x+1/2,y+1/2,z'
'x+1/2,-y+1/2,z'
loop_
_atom_site_label
_atom_site_type_symbol
_atom_site_fract_x
_atom_site_fract_y
_atom_site_fract_z
Co1 Co 0.000 0.000 0.000
Re1 Re 0.000 0.500 0.788
Ag1 Ag 0.000 0.000 0.518
Ag2 Ag 0.000 0.500 0.247
# Uncorrected energy in eV per atom: -5.91
# Excess energy over the best structure of this formula in the dataset in meV/atom: 102
# Crystal system: orthorhombic

***

No. 6
# PBE-GGA CoRe2Ag, relaxed
data_CoRe2Ag
_symmetry_space_group_name_H-M 'C 1 2/m 1'
_symmetry_Int_Tables_number 12
_cell_length_a 9.460
_cell_length_b 2.718
_cell_length_c 4.656
_cell_angle_alpha 90.00
_cell_angle_beta 103.29
_cell_angle_gamma 90.00
loop_
_symmetry_equiv_pos_as_xyz
'x,y,z'
'-x,-y,-z'
'-x,y,-z'
'x,-y,z'
'x+1/2,y+1/2,z'
'-x+1/2,-y+1/2,-z'
'-x+1/2,y+1/2,-z'
'x+1/2,-y+1/2,z'
loop_
_atom_site_label
_atom_site_type_symbol
_atom_site_fract_x
_atom_site_fract_y
_atom_site_fract_z
Co1 Co 0.000 0.000 0.000
Re1 Re 0.233 0.500 0.234
Ag1 Ag 0.000 0.500 0.500
# Uncorrected energy in eV per atom: -8.26
# Excess energy over the best structure of this formula in the dataset in meV/atom: 161
# Crystal system: monoclinic

***

No. 7
# PBE-GGA Co2ReAg2, relaxed
data_Co2ReAg2
_symmetry_space_group_name_H-M 'I 4/m m m'
_symmetry_Int_Tables_number 139
_symmetry_space_group_name_Hall '-I 4 2'
_cell_length_a 3.608
_cell_length_b 3.608
_cell_length_c 11.998
_cell_angle_alpha 90.00
_cell_angle_beta 90.00
_cell_angle_gamma 90.00
loop_
_atom_site_label
_atom_site_type_symbol
_atom_site_fract_x
_atom_site_fract_y
_atom_site_fract_z
Co1 Co 0.000 0.000 0.087
Re1 Re 0.000 0.000 0.500
Ag1 Ag 0.000 0.500 0.250
# Uncorrected energy in eV per atom: -5.48
# Excess energy over the best structure of this formula in the dataset in meV/atom: 310
# Crystal system: tetragonal

***

No. 8
# PBE-GGA Co2ReAg, relaxed
data_Co2ReAg
_symmetry_space_group_name_H-M 'R -3 m'
_symmetry_Int_Tables_number 166
_symmetry_space_group_name_Hall '-R 3 2"'
_cell_length_a 2.7033
_cell_length_b 2.7033
_cell_length_c 26.0448
_cell_angle_alpha 90.00
_cell_angle_beta 90.00
_cell_angle_gamma 120.00
loop_
_atom_site_label
_atom_site_type_symbol
_atom_site_fract_x
_atom_site_fract_y
_atom_site_fract_z
Co1 Co 0.0000 0.0000 0.2448
Re1 Re 0.0000 0.0000 0.5000
Ag1 Ag 0.0000 0.0000 0.0000
# Uncorrected energy in eV per atom: -7.08
# Excess energy over the best structure of this formula in the dataset in meV/atom: 71
# Crystal system: trigonal

***

No. 9
# PBE-GGA Co2ReAg, relaxed
data_Co2ReAg
_symmetry_space_group_name_H-M 'I m m 2'
_symmetry_Int_Tables_number 44
_cell_length_a 2.657
_cell_length_b 4.424
_cell_length_c 9.243
_cell_angle_alpha 90.00
_cell_angle_beta 90.00
_cell_angle_gamma 90.00
loop_
_symmetry_equiv_pos_as_xyz
'x,y,z'
'-x,-y,z'
'-x,y,z'
'x,-y,z'
'x+1/2,y+1/2,z+1/2'
'-x+1/2,-y+1/2,z+1/2'
'-x+1/2,y+1/2,z+1/2'
'x+1/2,-y+1/2,z+1/2'
loop_
_atom_site_label
_atom_site_type_symbol
_atom_site_fract_x
_atom_site_fract_y
_atom_site_fract_z
Co1 Co 0.000 0.000 0.000
Co2 Co 0.000 0.500 0.287
Re1 Re 0.000 0.500 0.732
Ag1 Ag 0.000 0.000 0.518
# Uncorrected energy in eV per atom: -6.90
# Excess energy over the best structure of this formula in the dataset in meV/atom: 245
# Crystal system: orthorhombic

***

No. 10
# PBE-GGA CoReAg2, relaxed
data_CoReAg2
_symmetry_space_group_name_H-M 'C m m m'
_symmetry_Int_Tables_number 65
_symmetry_space_group_name_Hall '-C 2 2'
_cell_length_a 5.387
_cell_length_b 8.763
_cell_length_c 2.618
_cell_angle_alpha 90.00
_cell_angle_beta 90.00
_cell_angle_gamma 90.00
loop_
_atom_site_label
_atom_site_type_symbol
_atom_site_fract_x
_atom_site_fract_y
_atom_site_fract_z
Co1 Co 0.000 0.000 0.000
Re1 Re 0.000 0.500 0.000
Ag1 Ag 0.250 0.250 0.500
# Uncorrected energy in eV per atom: -5.62
# Excess energy over the best structure of this formula in the dataset in meV/atom: 392
# Crystal system: orthorhombic

***

No. 11
# PBE-GGA Co2ReAg, relaxed
data_Co2ReAg
_symmetry_space_group_name_H-M 'P m m m'
_symmetry_Int_Tables_number 47
_cell_length_a 2.681
_cell_length_b 4.469
_cell_length_c 4.686
_cell_angle_alpha 90.00
_cell_angle_beta 90.00
_cell_angle_gamma 90.00
loop_
_symmetry_equiv_pos_as_xyz
'x,y,z'
'-x,-y,-z'
'-x,-y,z'
'x,y,-z'
'x,-y,-z'
'-x,y,z'
'-x,y,-z'
'x,-y,z'
loop_
_atom_site_label
_atom_site_type_symbol
_atom_site_fract_x
_atom_site_fract_y
_atom_site_fract_z
Co1 Co 0.000 0.000 0.000
Co2 Co 0.500 0.000 0.500
Re1 Re 0.000 0.500 0.500
Ag1 Ag 0.500 0.500 0.000
# Uncorrected energy in eV per atom: -6.68
# Excess energy over the best structure of this formula in the dataset in meV/atom: 465
# Crystal system: orthorhombic

***

No. 12
# PBE-GGA Co2ReAg, relaxed
data_Co2ReAg
_symmetry_space_group_name_H-M 'F -4 3 m'
_symmetry_Int_Tables_number 216
_symmetry_space_group_name_Hall 'F -4 2 3'
_cell_length_a 6.014
_cell_length_b 6.014
_cell_length_c 6.014
_cell_angle_alpha 90.00
_cell_angle_beta 90.00
_cell_angle_gamma 90.00
loop_
_atom_site_label
_atom_site_type_symbol
_atom_site_fract_x
_atom_site_fract_y
_atom_site_fract_z
Co1 Co 0.000 0.000 0.000
Co2 Co 0.250 0.250 0.250
Re1 Re 0.000 0.000 0.500
Ag1 Ag 0.250 0.250 0.750
# Uncorrected energy in eV per atom: -6.61
# Excess energy over the best structure of this formula in the dataset in meV/atom: 540
# Crystal system: cubic

***

No. 13
# PBE-GGA CoReAg2, relaxed
data_CoReAg2
_symmetry_space_group_name_H-M 'P 4/m m m'
_symmetry_Int_Tables_number 123
_symmetry_space_group_name_Hall '-P 4 2'
_cell_length_a 3.757
_cell_length_b 3.757
_cell_length_c 4.359
_cell_angle_alpha 90.00
_cell_angle_beta 90.00
_cell_angle_gamma 90.00
loop_
_atom_site_label
_atom_site_type_symbol
_atom_site_fract_x
_atom_site_fract_y
_atom_site_fract_z
Co1 Co 0.000 0.000 0.000
Re1 Re 0.500 0.500 0.000
Ag1 Ag 0.000 0.500 0.500
# Uncorrected energy in eV per atom: -5.49
# Excess energy over the best structure of this formula in the dataset in meV/atom: 524
# Crystal system: tetragonal

***

No. 14
# PBE-GGA CoReAg2, relaxed
data_CoReAg2
_symmetry_space_group_name_H-M 'C 1 m 1'
_symmetry_Int_Tables_number 8
_cell_length_a 8.855
_cell_length_b 2.677
_cell_length_c 5.212
_cell_angle_alpha 90.00
_cell_angle_beta 97.97
_cell_angle_gamma 90.00
loop_
_symmetry_equiv_pos_as_xyz
'x,y,z'
'x,-y,z'
'x+1/2,y+1/2,z'
'x+1/2,-y+1/2,z'
loop_
_atom_site_label
_atom_site_type_symbol
_atom_site_fract_x
_atom_site_fract_y
_atom_site_fract_z
Co1 Co 0.000 0.000 0.000
Re1 Re 0.260 0.000 0.838
Ag1 Ag 0.003 0.500 0.545
Ag2 Ag 0.247 0.500 0.304
# Uncorrected energy in eV per atom: -5.74
# Excess energy over the best structure of this formula in the dataset in meV/atom: 274
# Crystal system: monoclinic

***

No. 15
# PBE-GGA Co2ReAg, relaxed
data_Co2ReAg
_symmetry_space_group_name_H-M 'C m m m'
_symmetry_Int_Tables_number 65
_symmetry_space_group_name_Hall '-C 2 2'
_cell_length_a 5.518
_cell_length_b 7.301
_cell_length_c 2.654
_cell_angle_alpha 90.00
_cell_angle_beta 90.00
_cell_angle_gamma 90.00
loop_
_atom_site_label
_atom_site_type_symbol
_atom_site_fract_x
_atom_site_fract_y
_atom_site_fract_z
Co1 Co 0.250 0.250 0.000
Re1 Re 0.000 0.000 0.500
Ag1 Ag 0.000 0.500 0.500
# Uncorrected energy in eV per atom: -6.92
# Excess energy over the best structure of this formula in the dataset in meV/atom: 225
# Crystal system: orthorhombic

***

Number 1: energy relative to the elements 58 kJ per mole of atoms. Number 2: energy relative to the elements 65 kJ per mole of atoms. Number 3: energy relative to the elements 44 kJ per mole of atoms. Number 4: energy relative to the elements 101 kJ per mole of atoms. Number 5: energy relative to the elements 39 kJ per mole of atoms. Number 6: energy relative to the elements 43 kJ per mole of atoms. Number 7: energy relative to the elements 96 kJ per mole of atoms. Number 8: energy relative to the elements 29 kJ per mole of atoms. Number 9: energy relative to the elements 46 kJ per mole of atoms. Number 10: energy relative to the elements 67 kJ per mole of atoms. Number 11: energy relative to the elements 67 kJ per mole of atoms. Number 12: energy relative to the elements 74 kJ per mole of atoms. Number 13: energy relative to the elements 79 kJ per mole of atoms. Number 14: energy relative to the elements 55 kJ per mole of atoms. Number 15: energy relative to the elements 44 kJ per mole of atoms.